No. 1
A relaxed structure of BaNaAcSe3. Source: the Alexandria database, functional PBE-GGA.

Cell: 4.558 9.397 9.703 Å, 102.10 90.00 90.00°
Positions (direct):
Ba: 0.250 0.186 0.225
Ba: 0.750 0.814 0.775
Na: 0.250 0.088 0.581
Na: 0.750 0.912 0.419
Ac: 0.250 0.666 0.172
Ac: 0.750 0.334 0.828
Se: 0.750 0.885 0.128
Se: 0.250 0.115 0.872
Se: 0.250 0.776 0.500
Se: 0.750 0.224 0.500
Se: 0.750 0.433 0.159
Se: 0.250 0.567 0.841

Output
Total energy in eV/atom: -4.699
Density of states at the Fermi level in states/eV/f.u.: 0.00
Space group: P2_1/m, No. 11
Formation energy without anion corrections in meV per atom: -1731

---

No. 2
A relaxed structure of BaNaAc2Se4. Source: the Alexandria database, functional PBE-GGA.

Cell: 9.060 9.060 9.037 Å, 119.91 119.91 89.99°
Positions (direct):
Ba: 0.000 0.500 0.000
Ba: 0.000 0.500 0.500
Na: 0.500 0.500 0.500
Na: 0.000 0.000 0.000
Ac: 0.500 0.000 0.000
Ac: 0.500 0.000 0.500
Ac: 0.000 0.000 0.500
Ac: 0.500 0.500 0.000
Se: 0.263 0.759 0.011
Se: 0.741 0.237 0.489
Se: 0.259 0.763 0.511
Se: 0.737 0.241 0.989
Se: 0.744 0.756 0.006
Se: 0.744 0.756 0.494
Se: 0.256 0.244 0.506
Se: 0.256 0.244 0.994

Output
Total energy in eV/atom: -5.005
Density of states at the Fermi level in states/eV/f.u.: 2.90
Space group: Imma, No. 74
Formation energy without anion corrections in meV per atom: -1830

---

No. 3
A relaxed structure of Ba3NaAc2Se6. Source: the Alexandria database, functional PBE-GGA.

Cell: 7.917 7.917 7.968 Å, 99.50 99.50 119.99°
Positions (direct):
Ba: 0.164 0.836 0.500
Ba: 0.836 0.164 0.500
Ba: 0.500 0.500 0.500
Na: 0.000 0.000 0.000
Ac: 0.333 0.667 0.000
Ac: 0.667 0.333 0.000
Se: 0.922 0.583 0.766
Se: 0.739 0.739 0.231
Se: 0.078 0.417 0.234
Se: 0.583 0.922 0.766
Se: 0.261 0.261 0.769
Se: 0.417 0.078 0.234

Output
Total energy in eV/atom: -4.922
Density of states at the Fermi level in states/eV/f.u.: 3.78
Space group: C2/m, No. 12
Formation energy without anion corrections in meV per atom: -1904

---

- Among the records above, which one has the highest total energy?
  BaNaAcSe3

---

- Which formula does entry 1 have?
  BaNaAcSe3